Here is a geometry-optimized Zr2TaIn structure from Alexandria via LeMat-Bulk. Energies are from GGA-PBE.

Calculated values
* theoretical density: 9.3 g/cm3
* calculated volume: 85 Å³ per cell
* density of states at the Fermi level: 4.38 states/eV/f.u.
* space group: Cmmm (65)

a b c (Å): 5.3961 5.3961 3.0897
angles (deg): 90.02 90.02 108.78
Positions (direct):
In: 0.5000 0.0000 0.5000
Ta: 0.0000 0.5000 0.5000
Zr: 0.0000 0.0000 0.0000
Zr: 0.5000 0.5000 0.0000

Here is a geometry-optimized Zr2TaIn structure from Alexandria via LeMat-Bulk. Energies are from GGA-PBE.

Calculated values
* theoretical density: 9.3 g/cm3
* calculated volume: 85 Å³ per cell
* density of states at the Fermi level: 4.93 states/eV/f.u.
* space group: P4mm (99)

a b c (Å): 3.6256 3.6256 6.4900
angles (deg): 90.00 90.00 90.00
Positions (direct):
In: 0.0000 0.0000 0.5100
Ta: 0.5000 0.5000 0.7581
Zr: 0.0000 0.0000 0.9843
Zr: 0.5000 0.5000 0.2477

| no. | energy relative to the elements (eV/atom) |
| --- | --- |
| 1 | -0.03 |
| 2 | 0.02 |